{
  "formula": "Sr2In2Pd5Au",
  "functional": "GGA-PBE",
  "state": "relaxed",
  "lattice_angstrom": [[3.682, 0.000, 0.000], [0.000, 10.730, 0.000], [0.000, 0.000, 10.730]],
  "species": ["Sr", "Sr", "Sr", "Sr", "In", "In", "In", "In", "Pd", "Pd", "Pd", "Pd", "Pd", "Pd", "Pd", "Pd", "Pd", "Pd", "Au", "Au"],
  "frac_coords": [[0.000, 0.673, 0.173], [0.000, 0.327, 0.827], [0.000, 0.173, 0.327], [0.000, 0.827, 0.673], [0.000, 0.129, 0.629], [0.000, 0.871, 0.371], [0.000, 0.629, 0.871], [0.000, 0.371, 0.129], [0.500, 0.193, 0.059], [0.500, 0.807, 0.941], [0.500, 0.059, 0.807], [0.500, 0.693, 0.441], [0.500, 0.941, 0.193], [0.500, 0.307, 0.559], [0.500, 0.559, 0.693], [0.500, 0.441, 0.307], [0.500, 0.500, 0.000], [0.500, 0.000, 0.500], [0.000, 0.000, 0.000], [0.000, 0.500, 0.500]],
  "delta_e_f_ev_per_atom": -0.4521,
  "m_tot_mub_per_cell": 0.000
}